1.
VASP calculation (PBE) on Ce2Sm3ZrAs6 after structural relaxation.

a b c (Å): 4.148 8.318 9.276
angles (deg): 103.06 102.92 90.00
Each line ends with the local moment (μB).
Atoms (fractional coordinates):
1 Ce 0.836 0.669 0.671  0.49
2 Ce 0.164 0.331 0.329  0.49
3 Sm 0.500 0.500 0.000  0.01
4 Sm 0.832 0.164 0.665  0.01
5 Sm 0.168 0.836 0.335  0.01
6 Zr 0.500 0.000 0.000  0.03
7 As 0.340 0.918 0.679  -0.01
8 As 0.668 0.583 0.335  -0.01
9 As 0.660 0.082 0.321  -0.01
10 As 0.999 0.235 0.998  -0.01
11 As 0.001 0.765 0.002  -0.01
12 As 0.332 0.417 0.665  -0.01

DFT total energy	-6.623	eV per atom
space group	C2/m (12)
formation energy	-1.417	eV/atom
crystal system	monoclinic

=====

2.
VASP calculation (PBE) on Ce3SmZr2As6 after structural relaxation.

a b c (Å): 7.077 7.077 7.090
angles (deg): 99.60 99.60 120.01
Each line ends with the local moment (μB).
Atoms (fractional coordinates):
1 Ce 0.163 0.837 0.500  0.43
2 Ce 0.837 0.163 0.500  0.43
3 Ce 0.500 0.500 0.500  0.44
4 Sm 0.000 0.000 0.000  0.00
5 Zr 0.332 0.668 0.000  0.03
6 Zr 0.668 0.332 0.000  0.03
7 As 0.920 0.576 0.762  -0.01
8 As 0.733 0.733 0.234  -0.01
9 As 0.080 0.424 0.238  -0.01
10 As 0.576 0.920 0.762  -0.01
11 As 0.267 0.267 0.766  -0.01
12 As 0.424 0.080 0.238  -0.01

DFT total energy	-6.974	eV per atom
space group	C2/m (12)
formation energy	-1.348	eV/atom
crystal system	monoclinic

=====

3.
VASP calculation (PBE) on CeSnAs2 after structural relaxation.

a b c (Å): 3.868 3.868 9.335
angles (deg): 78.04 78.04 60.00
Each line ends with the local moment (μB).
Atoms (fractional coordinates):
1 As 0.106 0.106 0.683  0.01
2 As 0.894 0.894 0.317  0.01
3 Sn 0.500 0.500 0.500  0.00
4 Ce 0.000 0.000 0.000  0.90

DFT total energy	-4.671	eV per atom
space group	R-3m (166)
ΔE to the lowest computed polymorph	0.8558	eV per atom
formation energy	0.138	eV/atom
crystal system	trigonal

=====

Question: Which formula does entry 3 have?
Answer: CeSnAs2